## Tc2SbRu (PBE-GGA)

Data for a relaxed Tc2SbRu crystal.

Lattice parameters (Å, degrees): 8.8400 8.8400 8.8400 19.05 19.05 19.05
Last column: nearest neighbours and their distance in Å.
Atoms (fractional coordinates):
1 Tc 0.2474 0.2474 0.2474  3 Ru 2.70, 3 Sb 2.80, 6 Tc 2.93
2 Tc 0.7526 0.7526 0.7526  3 Ru 2.70, 3 Sb 2.80, 6 Tc 2.93
3 Sb 0.0000 0.0000 0.0000  6 Tc 2.80, 6 Sb 2.93
4 Ru 0.5000 0.5000 0.5000  6 Tc 2.70, 6 Ru 2.93

- Energy relative to the elements, uncorrected: 0.38 eV/atom
- Space group: R-3m, No. 166